Computed, not measured: a relaxed CaMnN2F crystal at the GGA+U level of DFT.

The space group is P4/mmm (No. 123) and the conventional cell measures 4.586, 4.586 and 4.158 Å, with angles of 90.00, 90.00 and 90.00 degrees. The inequivalent atoms are Ca at (0.000, 0.000, 0.000), Mn at (0.500, 0.500, 0.500), N at (0.000, 0.500, 0.000) and F at (0.000, 0.000, 0.500).

The calculated total energy is -5.170 eV/atom. As for the crystal system: tetragonal. As for the energy above the lowest structure with this stoichiometry: 1096 meV per atom.